No. 1
Density functional theory data (PBE) for a relaxed structure of Cr2PCl.

Calculated values
Uncorrected formation energy = -0.019 eV per atom
Energy above the lowest structure with this stoichiometry = 291 meV/atom

Unit cell a=3.1113 b=3.1113 c=7.1576 alpha=90.00 beta=90.00 gamma=90.00
Closest atoms and distances in Å follow each position.
Space group P4mm (No. 99)
Unique sites:
Cr 0.0000 0.0000 0.0000 [1 per cell]  1 P 2.47, 4 Cl 2.57, 4 Cr 2.70
Cr 0.5000 0.5000 0.2185 [1 per cell]  4 P 2.38
P 0.0000 0.0000 0.3455 [1 per cell]  5 Cr 2.38-2.47
Cl 0.5000 0.5000 0.8156 [1 per cell]  4 Cr 2.57

No. 2
Density functional theory data (PBE) for a relaxed structure of CrPCl2.

Calculated values
Uncorrected formation energy = 0.067 eV per atom
Energy above the lowest structure with this stoichiometry = 464 meV/atom

Unit cell a=3.3392 b=3.3392 c=31.9413 alpha=90.00 beta=90.00 gamma=120.00
Closest atoms and distances in Å follow each position.
Space group R-3m (No. 166, hexagonal axes)
Unique sites:
Cr 0.0000 0.0000 0.0000 [3 per cell]  6 Cl 2.45
P 0.0000 0.0000 0.5000 [3 per cell]  6 P 3.34
Cl 0.0000 0.0000 0.2861 [6 per cell]  3 Cr 2.45

No. 3
Density functional theory data (PBE) for a relaxed structure of Cr2PCl.

Calculated values
Uncorrected formation energy = 0.043 eV per atom
Energy above the lowest structure with this stoichiometry = 352 meV/atom

Unit cell a=2.9604 b=2.9604 c=6.4432 alpha=90.00 beta=90.00 gamma=90.00
Closest atoms and distances in Å follow each position.
Space group P4/mmm (No. 123)
Unique sites:
Cr 0.0000 0.0000 0.2014 [2 per cell]  4 P 2.46, 1 Cr 2.60
P 0.5000 0.5000 0.0000 [1 per cell]  8 Cr 2.46
Cl 0.5000 0.5000 0.5000 [1 per cell]  8 Cr 2.84, 4 Cl 2.96

No. 4
Density functional theory data (PBE) for a relaxed structure of Cr2PCl.

Calculated values
Uncorrected formation energy = -0.310 eV per atom
Energy above the lowest structure with this stoichiometry = 0 meV/atom

Unit cell a=12.9042 b=3.4012 c=3.4350 alpha=90.00 beta=104.95 gamma=90.00
Closest atoms and distances in Å follow each position.
Space group Cm (No. 8)
Unique sites:
Cr 0.0000 0.0000 0.0000 [2 per cell]  2 P 2.35, 2 Cl 2.41
Cr 0.1604 0.0000 0.6585 [2 per cell]  4 P 2.45, 1 Cl 2.53, 2 Cr 2.63-2.64
P 0.1298 0.5000 0.1294 [2 per cell]  6 Cr 2.35-2.45
Cl 0.3635 0.0000 0.8590 [2 per cell]  3 Cr 2.41-2.53

Density
In order: 4.1; 2.5; 5.0; 3.9
Unit: Mg/m³